A plane-wave DFT calculation with GGA-PBE was carried out for a geometry-optimized Rb3Zn2CuF9 structure.

Calculated values
The space-group type is P-3m1, No. 164. The calculation puts the density of states at the Fermi level at 4.03 states/eV/cell. The electronic total energy comes out at -4.1274 eV/atom. For the formation energy (no corrections), the calculation gives -2368 meV per atom.

Cell: 5.9032 5.9032 7.2342 Å, 90.00 90.00 120.00°
Sites, in units of the cell vectors:
1 Rb 0.3333 0.6667 0.6652
2 Rb 0.0000 0.0000 0.0000
3 Rb 0.6667 0.3333 0.3348
4 Zn 0.3333 0.6667 0.1671
5 Zn 0.6667 0.3333 0.8329
6 Cu 0.0000 0.0000 0.5000
7 F 0.8333 0.1667 0.6663
8 F 0.8333 0.6665 0.6663
9 F 0.3335 0.1667 0.6663
10 F 0.6665 0.8333 0.3337
11 F 0.1667 0.3335 0.3337
12 F 0.1667 0.8333 0.3337
13 F 0.5000 0.0000 0.0000
14 F 0.0000 0.5000 0.0000
15 F 0.5000 0.5000 0.0000


A plane-wave DFT calculation with GGA-PBE was carried out for a geometry-optimized RbZnCuF6 structure.

Calculated values
The space-group type is Imma, No. 74. The calculation puts the density of states at the Fermi level at 5.06 states/eV/cell. The electronic total energy comes out at -4.0115 eV/atom. For the formation energy (no corrections), the calculation gives -2060 meV per atom.

Cell: 7.2406 7.4014 7.3084 Å, 120.42 119.69 90.00°
Sites, in units of the cell vectors:
1 Rb 0.8768 0.6268 0.7536
2 Rb 0.1232 0.3732 0.2464
3 Zn 0.5000 0.0000 0.5000
4 Zn 0.0000 0.0000 0.5000
5 Cu 0.5000 0.5000 0.0000
6 Cu 0.5000 0.0000 0.0000
7 F 0.4463 0.6963 0.8925
8 F 0.8316 0.0816 0.6632
9 F 0.8159 0.0849 0.2511
10 F 0.4352 0.6662 0.2511
11 F 0.4352 0.0849 0.2511
12 F 0.8159 0.6662 0.2511
13 F 0.5537 0.3037 0.1075
14 F 0.1684 0.9184 0.3368
15 F 0.1841 0.9151 0.7489
16 F 0.5648 0.3338 0.7489
17 F 0.5648 0.9151 0.7489
18 F 0.1841 0.3338 0.7489


A plane-wave DFT calculation with GGA-PBE was carried out for a geometry-optimized Rb2Zn3CuF12 structure.

Calculated values
The space-group type is R-3m, No. 166. The calculation puts the density of states at the Fermi level at 6.92 states/eV/cell. The electronic total energy comes out at -3.9475 eV/atom. For the formation energy (no corrections), the calculation gives -2153 meV per atom.

Cell: 7.3954 7.3954 7.3954 Å, 59.12 59.12 59.12°
Sites, in units of the cell vectors:
1 Rb 0.6225 0.6225 0.6225
2 Rb 0.3775 0.3775 0.3775
3 Zn 0.5000 0.0000 0.0000
4 Zn 0.0000 0.5000 0.0000
5 Zn 0.0000 0.0000 0.5000
6 Cu 0.0000 0.0000 0.0000
7 F 0.3269 0.3269 0.9292
8 F 0.9313 0.9313 0.3094
9 F 0.3094 0.9313 0.9313
10 F 0.9292 0.3269 0.3269
11 F 0.9313 0.3094 0.9313
12 F 0.3269 0.9292 0.3269
13 F 0.6731 0.6731 0.0708
14 F 0.0687 0.0687 0.6906
15 F 0.6906 0.0687 0.0687
16 F 0.0708 0.6731 0.6731
17 F 0.0687 0.6906 0.0687
18 F 0.6731 0.0708 0.6731


A plane-wave DFT calculation with GGA-PBE was carried out for a geometry-optimized Rb2ZnCuF6 structure.

Calculated values
The space-group type is I4/mmm, No. 139. The calculation puts the density of states at the Fermi level at 0.00 states/eV/cell. The electronic total energy comes out at -4.1581 eV/atom. For the formation energy (no corrections), the calculation gives -2305 meV per atom.

Cell: 5.8082 5.8082 6.0873 Å, 61.51 61.51 90.00°
Sites, in units of the cell vectors:
1 Zn 0.0000 0.0000 0.0000
2 Cu 0.5000 0.5000 0.0000
3 Rb 0.7500 0.2500 0.5000
4 Rb 0.2500 0.7500 0.5000
5 F 0.2164 0.2164 0.5671
6 F 0.7836 0.7836 0.4329
7 F 0.2635 0.2635 0.0000
8 F 0.7365 0.7365 0.0000
9 F 0.7365 0.2635 0.0000
10 F 0.2635 0.7365 0.0000


A plane-wave DFT calculation with GGA-PBE was carried out for a geometry-optimized Rb2ZnCu3F12 structure.

Calculated values
The space-group type is R-3m, No. 166. The calculation puts the density of states at the Fermi level at 8.26 states/eV/cell. The electronic total energy comes out at -4.0545 eV/atom. For the formation energy (no corrections), the calculation gives -1946 meV per atom.

Cell: 7.2516 7.2516 7.2516 Å, 60.61 60.61 60.61°
Sites, in units of the cell vectors:
1 Rb 0.6251 0.6251 0.6251
2 Rb 0.3749 0.3749 0.3749
3 Zn 0.0000 0.0000 0.0000
4 Cu 0.5000 0.0000 0.0000
5 Cu 0.0000 0.5000 0.0000
6 Cu 0.0000 0.0000 0.5000
7 F 0.3192 0.3192 0.9241
8 F 0.9224 0.9224 0.3350
9 F 0.3350 0.9224 0.9224
10 F 0.9241 0.3192 0.3192
11 F 0.9224 0.3350 0.9224
12 F 0.3192 0.9241 0.3192
13 F 0.6808 0.6808 0.0759
14 F 0.0776 0.0776 0.6650
15 F 0.6650 0.0776 0.0776
16 F 0.0759 0.6808 0.6808
17 F 0.0776 0.6650 0.0776
18 F 0.6808 0.0759 0.6808


A plane-wave DFT calculation with GGA-PBE was carried out for a geometry-optimized CuReF6 structure.

Calculated values
The space-group type is P-31c, No. 163. The calculation puts the density of states at the Fermi level at 13.42 states/eV/cell. The electronic total energy comes out at -5.3331 eV/atom. For the formation energy (no corrections), the calculation gives -1862 meV per atom.

Cell: 5.0873 5.0873 9.5743 Å, 90.00 90.00 120.00°
Sites, in units of the cell vectors:
1 Cu 0.3333 0.6667 0.2500
2 Cu 0.6667 0.3333 0.7500
3 Re 0.0000 0.0000 0.5000
4 Re 0.0000 0.0000 0.0000
5 F 0.3061 0.3187 0.3818
6 F 0.6939 0.6813 0.6182
7 F 0.0126 0.6939 0.3818
8 F 0.3061 0.9874 0.1182
9 F 0.9874 0.3061 0.6182
10 F 0.6939 0.0126 0.8818
11 F 0.6813 0.9874 0.3818
12 F 0.0126 0.3187 0.1182
13 F 0.3187 0.0126 0.6182
14 F 0.9874 0.6813 0.8818
15 F 0.6813 0.6939 0.1182
16 F 0.3187 0.3061 0.8818


A plane-wave DFT calculation with GGA-PBE was carried out for a geometry-optimized CuReF2 structure.

Calculated values
The energy above the most stable polymorph in this dataset comes out at 0 meV per atom. The space-group type is R-3m, No. 166. The calculation puts the density of states at the Fermi level at 1.52 states/eV/cell. The electronic total energy comes out at -5.4365 eV/atom. For the formation energy (no corrections), the calculation gives -365 meV per atom.

Cell: 8.0253 8.0253 8.0253 Å, 19.10 19.10 19.10°
Sites, in units of the cell vectors:
1 Re 0.5000 0.5000 0.5000
2 Cu 0.0000 0.0000 0.0000
3 F 0.9193 0.9193 0.9193
4 F 0.0807 0.0807 0.0807


A plane-wave DFT calculation with GGA-PBE was carried out for a geometry-optimized Cu2ReF8 structure.

Calculated values
The space-group type is C2/m, No. 12. The calculation puts the density of states at the Fermi level at 6.99 states/eV/cell. The electronic total energy comes out at -4.9711 eV/atom. For the formation energy (no corrections), the calculation gives -1734 meV per atom.

Cell: 4.2523 6.0046 6.0046 Å, 77.26 89.40 89.40°
Sites, in units of the cell vectors:
1 Re 0.0000 0.0000 0.0000
2 Cu 0.2467 0.6146 0.6146
3 Cu 0.7533 0.3854 0.3854
4 F 0.2345 0.9090 0.2751
5 F 0.2345 0.2751 0.9090
6 F 0.7655 0.0910 0.7249
7 F 0.2530 0.4054 0.4054
8 F 0.7655 0.7249 0.0910
9 F 0.2594 0.8233 0.8233
10 F 0.7406 0.1767 0.1767
11 F 0.7470 0.5946 0.5946